This record from Alexandria via LeMat-Bulk describes a crystal of Rh8Au relaxed with PBEsol. The functional is SCAN.

It has space group I4/mmm (No. 139), with a = 8.096 Å, b = 8.096 Å, c = 3.798 Å, α = 90.00°, β = 90.00° and γ = 90.00°. The distinct sites, in fractional coordinates, are Rh at (0.000, 0.338, 0.000), Rh at (0.172, 0.172, 0.500) and Au at (0.000, 0.000, 0.000).

For the volume, the calculation gives 124 Å³/f.u. As for the formation energy: 0.07 eV/atom.


This record from Alexandria via LeMat-Bulk describes a crystal of TlIn3Pd relaxed with PBEsol. The functional is SCAN.

It has space group Pm-3m (No. 221), with a = 5.118 Å, b = 5.118 Å, c = 5.118 Å, α = 90.00°, β = 90.00° and γ = 90.00°. The distinct sites, in fractional coordinates, are Tl at (0.000, 0.000, 0.000), In at (0.000, 0.500, 0.500) and Pd at (0.500, 0.500, 0.500).

Its energy above the most stable polymorph in this dataset is 0 meV/atom. For the volume, the calculation gives 134 Å³/f.u. As for the formation energy: -0.10 eV/atom.


This record from Alexandria via LeMat-Bulk describes a crystal of Tl3ReI relaxed with PBEsol. The functional is SCAN.

It has space group Pm-3m (No. 221), with a = 6.128 Å, b = 6.128 Å, c = 6.128 Å, α = 90.00°, β = 90.00° and γ = 90.00°. The distinct sites, in fractional coordinates, are Tl at (0.000, 0.000, 0.500), Re at (0.500, 0.500, 0.500) and I at (0.000, 0.000, 0.000).

For the volume, the calculation gives 230 Å³/f.u. The calculation puts the total energy at -316.48 eV/cell.